No. 1
# Mg6AlMo, relaxed, DFT PBE-GGA
data_Mg6AlMo
_chemical_formula_sum 'Mg12 Al2 Mo2'
_symmetry_space_group_name_H-M 'A m m 2'
_symmetry_Int_Tables_number 38
_cell_length_a 4.9653
_cell_length_b 5.8803
_cell_length_c 10.7810
_cell_angle_alpha 90.00
_cell_angle_beta 90.00
_cell_angle_gamma 90.00
loop_
_symmetry_equiv_pos_as_xyz
'x,y,z'
'-x,-y,z'
'-x,y,z'
'x,-y,z'
'x,y+1/2,z+1/2'
'-x,-y+1/2,z+1/2'
'-x,y+1/2,z+1/2'
'x,-y+1/2,z+1/2'
loop_
_atom_site_label
_atom_site_fract_x
_atom_site_fract_y
_atom_site_fract_z
Mg1 0.0000 0.0000 0.0000
Mg2 0.0000 0.0000 0.4977
Mg3 0.0000 0.2404 0.2588
Mg4 0.5000 0.2494 0.5973
Al1 0.5000 0.0000 0.8447
Mo1 0.5000 0.0000 0.3488
# - Energy above the lowest structure with this stoichiometry: 0.012 eV per atom

=====

No. 2
# Mg2AlMo, relaxed, DFT PBE-GGA
data_Mg2AlMo
_chemical_formula_sum 'Mg8 Al4 Mo4'
_symmetry_space_group_name_H-M 'I -4 2 d'
_symmetry_Int_Tables_number 122
_symmetry_space_group_name_Hall 'I -4 2bw'
_cell_length_a 7.4575
_cell_length_b 7.4575
_cell_length_c 5.3955
_cell_angle_alpha 90.00
_cell_angle_beta 90.00
_cell_angle_gamma 90.00
loop_
_atom_site_label
_atom_site_fract_x
_atom_site_fract_y
_atom_site_fract_z
Mg1 0.2420 0.2500 0.1250
Al1 0.0000 0.0000 0.0000
Mo1 0.0000 0.0000 0.5000
# - Energy: -61.7 eV for the cell shown

=====

No. 3
# Mg2AlMo, relaxed, DFT PBE-GGA
data_Mg2AlMo
_chemical_formula_sum 'Mg4 Al2 Mo2'
_symmetry_space_group_name_H-M 'C 1 m 1'
_symmetry_Int_Tables_number 8
_cell_length_a 9.4826
_cell_length_b 2.8411
_cell_length_c 5.3197
_cell_angle_alpha 90.00
_cell_angle_beta 98.06
_cell_angle_gamma 90.00
loop_
_symmetry_equiv_pos_as_xyz
'x,y,z'
'x,-y,z'
'x+1/2,y+1/2,z'
'x+1/2,-y+1/2,z'
loop_
_atom_site_label
_atom_site_fract_x
_atom_site_fract_y
_atom_site_fract_z
Mg1 0.0000 0.0000 0.0000
Mg2 0.2418 0.0000 0.7454
Al1 0.2489 0.5000 0.2886
Mo1 0.4906 0.0000 0.4829
# - Energy: -34.4 eV for the cell shown